1.
Compound: TlCr2Cl6
Source: Alexandria via LeMat-Bulk
Functional: PBE
Structure: optimized geometry

a = 6.3714 Å, b = 6.3714 Å, c = 7.1266 Å
α = 90.00°, β = 90.00°, γ = 120.00°
Space group P-31m (No. 162)
Unique sites:
Tl: 0.0000 0.0000 0.0000
Cr: 0.3333 0.6667 0.5000
Cl: 0.0000 0.3717 0.6912

=====

2.
Compound: TlCrCl3
Source: Alexandria via LeMat-Bulk
Functional: PBE
Structure: optimized geometry

Results
Excess energy over the best structure of this formula in the dataset: 0.000 eV per atom

a = 4.979 Å, b = 4.979 Å, c = 4.979 Å
α = 90.00°, β = 90.00°, γ = 90.00°
Space group Pm-3m (No. 221)
Unique sites:
Tl: 0.000 0.000 0.000
Cr: 0.500 0.500 0.500
Cl: 0.000 0.500 0.500

=====

Summary of total DFT energy (no corrections) in eV per atom
-4.674, -4.492
(order as listed above)
Summary of spin magnetization in μB per cell
7.00, 4.00
(order as listed above)
Summary of formation energy from raw total energies in eV/f.u.
-9.37, -4.93
(order as listed above)